(1)
VASP calculation (GGA-PBE) on K2ScAsS4 after structural relaxation.

Cell: 8.064 8.064 8.014 Å, 119.80 119.80 89.97°
Sites, in units of the cell vectors:
S  0.231  0.269  0.035
S  0.232  0.695  0.464
S  0.768  0.305  0.536
S  0.769  0.731  0.965
S  0.769  0.731  0.535
S  0.805  0.268  0.036
S  0.231  0.269  0.465
S  0.195  0.732  0.964
K  0.000  0.000  0.500
K  0.500  0.500  0.000
K  0.500  0.000  0.500
K  0.500  0.000  0.000
As  0.500  0.500  0.500
As  0.000  0.000  0.000
Sc  0.000  0.500  0.000
Sc  0.000  0.500  0.500

Values from the calculation:
The total energy is -0.176 hartree per atom. Its space-group type is Imma (74). Its energy relative to the elements, uncorrected is -1.09 eV/atom. Its total magnetization is 0.000 μB/cell.

(2)
VASP calculation (GGA-PBE) on NaBe3As after structural relaxation.

Cell: 4.453 4.453 4.453 Å, 90.00 90.00 90.00°
Sites, in units of the cell vectors:
Na  0.500  0.500  0.500
Be  0.500  0.000  0.000
Be  0.000  0.500  0.000
Be  0.000  0.000  0.500
As  0.000  0.000  0.000

Values from the calculation:
The total energy is -0.094 hartree per atom. The energy above the most stable polymorph in this dataset is 0 meV/atom. Its space-group type is Pm-3m (221). The value obtained for the formation energy is 0.885 eV/atom. Its total magnetization is 0.000 μB/cell.

(3)
VASP calculation (GGA-PBE) on PmHBr after structural relaxation.

Cell: 6.616 7.363 7.488 Å, 90.00 133.20 90.00°
Sites, in units of the cell vectors:
Br  0.830  0.433  0.105
Br  0.330  0.067  0.105
Br  0.670  0.933  0.895
Br  0.170  0.567  0.895
H  0.534  0.654  0.455
H  0.034  0.846  0.455
H  0.966  0.154  0.545
H  0.466  0.346  0.545
Pm  0.816  0.895  0.589
Pm  0.316  0.605  0.589
Pm  0.184  0.105  0.411
Pm  0.684  0.395  0.411

Values from the calculation:
The total energy is -0.156 hartree per atom. The energy above the most stable polymorph in this dataset is 263 meV/atom. Its space-group type is P2_1/c (14). Its total magnetization is 0.000 μB/cell.

(4)
VASP calculation (GGA-PBE) on Sr2PtO2 after structural relaxation.

Cell: 3.830 3.830 7.833 Å, 75.85 75.85 90.00°
Sites, in units of the cell vectors:
O  0.250  0.750  0.500
O  0.750  0.250  0.500
Sr  0.650  0.650  0.699
Sr  0.350  0.350  0.301
Pt  0.000  0.000  0.000

Values from the calculation:
The total energy is -0.186 hartree per atom. Its space-group type is I4/mmm (139). Its energy relative to the elements, uncorrected is -1.20 eV/atom. Its total magnetization is 0.000 μB/cell.

(5)
VASP calculation (GGA-PBE) on TlZn2Fe after structural relaxation.

Cell: 2.974 2.974 8.144 Å, 90.00 90.00 89.99°
Last column: magnetic moment on the atom in μB.
Sites, in units of the cell vectors:
Tl  0.500  0.500  0.750  0.02
Zn  0.000  0.000  0.065  -0.04
Zn  0.000  0.000  0.435  -0.04
Fe  0.500  0.500  0.250  2.50

Values from the calculation:
The total energy is -0.114 hartree per atom. The energy above the most stable polymorph in this dataset is 0 meV/atom. Its space-group type is P4/mmm (123). The value obtained for the formation energy is 0.247 eV/atom. Its total magnetization is 2.414 μB/cell.

(6)
VASP calculation (GGA-PBE) on PmZn3Ge3 after structural relaxation.

Cell: 6.840 6.840 6.840 Å, 90.00 90.00 90.00°
Sites, in units of the cell vectors:
Ge  0.250  0.000  0.500
Ge  0.500  0.250  0.000
Ge  0.500  0.750  0.000
Ge  0.750  0.000  0.500
Ge  0.000  0.500  0.750
Ge  0.000  0.500  0.250
Zn  0.000  0.750  0.500
Zn  0.500  0.000  0.750
Zn  0.500  0.000  0.250
Zn  0.250  0.500  0.000
Zn  0.000  0.250  0.500
Zn  0.750  0.500  0.000
Pm  0.000  0.000  0.000
Pm  0.500  0.500  0.500

Values from the calculation:
The total energy is -0.113 hartree per atom. Its space-group type is Pm-3n (223). The value obtained for the formation energy is 0.126 eV/atom. Its total magnetization is 0.000 μB/cell.

(7)
VASP calculation (GGA-PBE) on RbEr2ReO8 after structural relaxation.

Cell: 4.922 4.922 7.644 Å, 89.79 89.80 91.04°
Sites, in units of the cell vectors:
O  0.811  0.185  0.176
O  0.610  0.610  0.500
O  0.390  0.390  0.500
O  0.189  0.815  0.824
O  0.283  0.284  0.001
O  0.717  0.716  0.999
O  0.815  0.189  0.824
O  0.185  0.811  0.176
Rb  0.000  0.000  0.500
Er  0.499  0.499  0.784
Er  0.501  0.501  0.216
Re  0.000  0.000  0.000

Values from the calculation:
The total energy is -0.273 hartree per atom. Its space-group type is C2/m (12). Its energy relative to the elements, uncorrected is -2.24 eV/atom. Its total magnetization is 0.000 μB/cell.

(8)
VASP calculation (GGA-PBE) on MnSb2Pb after structural relaxation.

Cell: 4.144 5.226 4.787 Å, 90.00 90.00 90.00°
Last column: magnetic moment on the atom in μB.
Sites, in units of the cell vectors:
Pb  0.000  0.500  0.500  -0.04
Sb  0.500  0.500  0.000  -0.02
Sb  0.000  0.000  0.000  -0.03
Mn  0.500  0.000  0.500  4.04

Values from the calculation:
The total energy is -0.181 hartree per atom. Its space-group type is Pmmm (47). Its energy relative to the elements, uncorrected is 0.37 eV/atom. Its total magnetization is 4.150 μB/cell.

Please write out number 4 again, unchanged.
VASP calculation (GGA-PBE) on Sr2PtO2 after structural relaxation.

Cell: 3.830 3.830 7.833 Å, 75.85 75.85 90.00°
Sites, in units of the cell vectors:
O  0.250  0.750  0.500
O  0.750  0.250  0.500
Sr  0.650  0.650  0.699
Sr  0.350  0.350  0.301
Pt  0.000  0.000  0.000

Values from the calculation:
The total energy is -0.186 hartree per atom. Its space-group type is I4/mmm (139). Its energy relative to the elements, uncorrected is -1.20 eV/atom. Its total magnetization is 0.000 μB/cell.